No. 1
Here is a relaxed Ce6Si2C crystal from Alexandria via LeMat-Bulk. Energies are from GGA-PBE.

Volume: 201 Å³/f.u.
Formation energy without anion corrections: -33.1 kJ per mole of atoms
DOS at the Fermi energy: 38.444 states/eV/cell

Cell lengths 6.5790, 6.5790, 9.2906 Å; angles 90.00, 90.00, 90.00 degrees
Last column: nearest neighbours and their distance in Å.
Space group I4/mmm (No. 139)
Unique sites:
Ce 0.0000 0.0000 0.2414 x4  1 C 2.40
Ce 0.2421 0.2421 0.0000 x8  1 C 2.40
Si 0.0000 0.5000 0.2500 x4  12 Ce 3.29
C 0.0000 0.0000 0.5000 x2  6 Ce 2.40

=====

No. 2
Here is a relaxed Ce6Si3C crystal from Alexandria via LeMat-Bulk. Energies are from GGA-PBE.

Volume: 226 Å³/f.u.
Formation energy without anion corrections: -31.2 kJ per mole of atoms
DOS at the Fermi energy: 49.858 states/eV/cell

Cell lengths 10.4972, 6.2664, 6.9761 Å; angles 90.00, 100.41, 90.00 degrees
Last column: nearest neighbours and their distance in Å.
Space group C2/m (No. 12)
Unique sites:
Ce 0.1243 0.2272 0.3708 x8  1 C 2.42
Ce 0.1362 0.5000 0.8644 x4  1 C 2.68
Si 0.0000 0.0000 0.0000 x2  2 Si 2.55
Si 0.1541 0.0000 0.7561 x4  1 Si 2.55
C 0.0000 0.5000 0.5000 x2  6 Ce 2.42-2.68

=====

No. 3
Here is a relaxed Ce6SiC3 crystal from Alexandria via LeMat-Bulk. Energies are from GGA-PBE.

Volume: 204 Å³/f.u.
Formation energy without anion corrections: -17.9 kJ per mole of atoms
DOS at the Fermi energy: 36.325 states/eV/cell

Cell lengths 10.6899, 3.6148, 11.0002 Å; angles 90.00, 106.66, 90.00 degrees
Last column: nearest neighbours and their distance in Å.
Space group P2_1/m (No. 11)
Unique sites:
Ce 0.0119 0.2500 0.1352 x2  3 C 2.54-2.64
Ce 0.1168 0.7500 0.4405 x2  4 C 2.51-2.63
Ce 0.2118 0.2500 0.7429 x2  3 C 2.50-2.54
Ce 0.2922 0.2500 0.2477 x2  2 C 2.53
Ce 0.3312 0.7500 0.0319 x2  2 C 2.57
Ce 0.4153 0.2500 0.5862 x2  3 C 2.47-2.55
Si 0.4533 0.7500 0.8182 x2  8 Ce 3.00-3.06
C 0.0465 0.7500 0.6474 x2  6 Ce 2.51-2.64
C 0.1572 0.2500 0.9490 x2  5 Ce 2.50-2.57
C 0.3543 0.7500 0.4156 x2  6 Ce 2.47-2.63

=====

No. 4
Here is a relaxed Ce4SiC2 crystal from Alexandria via LeMat-Bulk. Energies are from GGA-PBE.

Volume: 132 Å³/f.u.
Formation energy without anion corrections: -4.1 kJ per mole of atoms
DOS at the Fermi energy: 35.483 states/eV/cell

Cell lengths 4.3459, 4.3459, 24.2397 Å; angles 90.00, 90.00, 120.00 degrees
Last column: nearest neighbours and their distance in Å.
Space group R-3m (No. 166, hexagonal axes)
Unique sites:
Ce 0.0000 0.0000 0.1076 x6  3 C 2.67, 3 Si 2.89
Ce 0.0000 0.0000 0.2955 x6  4 C 2.61-2.63
Si 0.0000 0.0000 0.5000 x3  2 C 2.34
C 0.0000 0.0000 0.4033 x6  1 Si 2.34, 1 Ce 2.61